(1)
The following is a PBE calculation of a geometry-optimized CoPbCl2 structure, from the Alexandria database.

Summary:
- ΔE_f (raw) (eV/atom) = -0.27
- SG = R3m (160)
- excess energy over the best structure of this formula in the dataset (meV/atom) = 127
- uncorrected energy (eV/atom) = -3.90

a = 3.677 Å, b = 3.677 Å, c = 24.604 Å
α = 90.00°, β = 90.00°, γ = 120.00°
Atoms (fractional coordinates):
Co1 0.000 0.000 0.000
Co2 0.333 0.667 0.667
Co3 0.667 0.333 0.333
Pb1 0.000 0.000 0.749
Pb2 0.333 0.667 0.416
Pb3 0.667 0.333 0.082
Cl1 0.000 0.000 0.296
Cl2 0.000 0.000 0.496
Cl3 0.333 0.667 0.163
Cl4 0.333 0.667 0.963
Cl5 0.667 0.333 0.629
Cl6 0.667 0.333 0.830


(2)
The following is a PBE calculation of a geometry-optimized Rb3TaBr2F6 structure, from the Alexandria database.

Summary:
- ΔE_f (raw) (eV/atom) = -2.73
- SG = C2/m (12)
- uncorrected energy (eV/atom) = -5.17

a = 9.325 Å, b = 9.325 Å, c = 5.302 Å
α = 92.89°, β = 92.89°, γ = 51.12°
Atoms (fractional coordinates):
Rb1 0.000 0.000 0.000
Rb2 0.000 0.500 0.500
Rb3 0.500 0.000 0.500
Ta1 0.500 0.500 0.500
Br1 0.197 0.197 0.995
Br2 0.803 0.803 0.005
F1 0.307 0.653 0.254
F2 0.347 0.693 0.746
F3 0.388 0.388 0.566
F4 0.612 0.612 0.434
F5 0.653 0.307 0.254
F6 0.693 0.347 0.746


(3)
The following is a PBE calculation of a geometry-optimized BaLiOs2 structure, from the Alexandria database.

Summary:
- ΔE_f (eV per formula unit) = 3.78
- SG = R3m (160)
- excess energy over the best structure of this formula in the dataset (meV/atom) = 708
- uncorrected energy (eV/atom) = -5.63

a = 2.972 Å, b = 2.972 Å, c = 30.991 Å
α = 90.00°, β = 90.00°, γ = 120.00°
Atoms (fractional coordinates):
Ba1 0.000 0.000 0.000
Ba2 0.333 0.667 0.667
Ba3 0.667 0.333 0.333
Li1 0.000 0.000 0.773
Li2 0.333 0.667 0.440
Li3 0.667 0.333 0.106
Os1 0.000 0.000 0.239
Os2 0.000 0.000 0.510
Os3 0.333 0.667 0.176
Os4 0.333 0.667 0.906
Os5 0.667 0.333 0.572
Os6 0.667 0.333 0.843


(4)
The following is a PBE calculation of a geometry-optimized ScBiS2Cl structure, from the Alexandria database.

Summary:
- ΔE_f (raw) (eV/atom) = -0.84
- SG = P4/mmm (123)
- excess energy over the best structure of this formula in the dataset (meV/atom) = 0
- uncorrected energy (eV/atom) = -4.90

a = 5.026 Å, b = 5.026 Å, c = 4.789 Å
α = 90.00°, β = 90.00°, γ = 90.00°
Atoms (fractional coordinates):
Sc1 0.000 0.000 0.000
Bi1 0.500 0.500 0.500
S1 0.000 0.500 0.000
S2 0.500 0.000 0.000
Cl1 0.000 0.000 0.500


(5)
The following is a PBE calculation of a geometry-optimized PaVSnPd structure, from the Alexandria database.

Summary:
- ΔE_f (eV per formula unit) = -0.48
- SG = F-43m (216)
- uncorrected energy (eV/atom) = -7.07

a = 6.782 Å, b = 6.782 Å, c = 6.782 Å
α = 90.00°, β = 90.00°, γ = 90.00°
Atoms (fractional coordinates):
Pa1 0.000 0.000 0.000
Pa2 0.000 0.500 0.500
Pa3 0.500 0.000 0.500
Pa4 0.500 0.500 0.000
V1 0.250 0.250 0.250
V2 0.250 0.750 0.750
V3 0.750 0.250 0.750
V4 0.750 0.750 0.250
Sn1 0.000 0.000 0.500
Sn2 0.000 0.500 0.000
Sn3 0.500 0.000 0.000
Sn4 0.500 0.500 0.500
Pd1 0.250 0.250 0.750
Pd2 0.250 0.750 0.250
Pd3 0.750 0.250 0.250
Pd4 0.750 0.750 0.750


(6)
The following is a PBE calculation of a geometry-optimized Zn3AgS structure, from the Alexandria database.

Summary:
- ΔE_f (raw) (eV/atom) = 0.51
- SG = Pm-3m (221)
- excess energy over the best structure of this formula in the dataset (meV/atom) = 78
- uncorrected energy (eV/atom) = -1.65

a = 4.869 Å, b = 4.869 Å, c = 4.869 Å
α = 90.00°, β = 90.00°, γ = 90.00°
Atoms (fractional coordinates):
Zn1 0.000 0.000 0.500
Zn2 0.000 0.500 0.000
Zn3 0.500 0.000 0.000
Ag1 0.000 0.000 0.000
S1 0.500 0.500 0.500


(7)
The following is a PBE calculation of a geometry-optimized Tc6Ge8Au structure, from the Alexandria database.

Summary:
- ΔE_f (eV per formula unit) = -0.53
- SG = P-3 (147)
- uncorrected energy (eV/atom) = -6.86

a = 9.751 Å, b = 9.751 Å, c = 3.093 Å
α = 90.00°, β = 90.00°, γ = 120.00°
Atoms (fractional coordinates):
Tc1 0.114 0.483 0.251
Tc2 0.369 0.886 0.251
Tc3 0.483 0.369 0.749
Tc4 0.517 0.631 0.251
Tc5 0.631 0.114 0.749
Tc6 0.886 0.517 0.749
Ge1 0.071 0.734 0.246
Ge2 0.266 0.337 0.246
Ge3 0.333 0.667 0.752
Ge4 0.337 0.071 0.754
Ge5 0.663 0.929 0.246
Ge6 0.667 0.333 0.248
Ge7 0.734 0.663 0.754
Ge8 0.929 0.266 0.754
Au1 0.000 0.000 0.000


(8)
The following is a PBE calculation of a geometry-optimized Ac2La2CoBi2 structure, from the Alexandria database.

Summary:
- ΔE_f (eV per formula unit) = -4.66
- SG = I4/mmm (139)
- uncorrected energy (eV/atom) = -5.37

a = 5.114 Å, b = 5.114 Å, c = 18.369 Å
α = 90.00°, β = 90.00°, γ = 90.00°
Atoms (fractional coordinates):
Ac1 0.000 0.000 0.170
Ac2 0.000 0.000 0.830
Ac3 0.500 0.500 0.330
Ac4 0.500 0.500 0.670
La1 0.000 0.500 0.000
La2 0.000 0.500 0.500
La3 0.500 0.000 0.000
La4 0.500 0.000 0.500
Co1 0.000 0.000 0.000
Co2 0.500 0.500 0.500
Bi1 0.000 0.000 0.361
Bi2 0.000 0.000 0.639
Bi3 0.500 0.500 0.139
Bi4 0.500 0.500 0.861


(9)
The following is a PBE calculation of a geometry-optimized CaH2Br3 structure, from the Alexandria database.

Summary:
- SG = C2/c (15)
- uncorrected energy (eV/atom) = -2.92

a = 7.327 Å, b = 7.327 Å, c = 7.870 Å
α = 112.34°, β = 112.34°, γ = 66.69°
Atoms (fractional coordinates):
Ca1 0.095 0.905 0.750
Ca2 0.905 0.095 0.250
H1 0.309 0.394 0.717
H2 0.394 0.309 0.217
H3 0.606 0.691 0.783
H4 0.691 0.606 0.283
Br1 0.059 0.257 0.655
Br2 0.257 0.059 0.155
Br3 0.461 0.539 0.750
Br4 0.539 0.461 0.250
Br5 0.743 0.941 0.845
Br6 0.941 0.743 0.345


(10)
The following is a PBE calculation of a geometry-optimized ZrCoPdPb2 structure, from the Alexandria database.

Summary:
- ΔE_f (eV per formula unit) = 3.72
- SG = P4/mmm (123)
- uncorrected energy (eV/atom) = -4.91

a = 5.174 Å, b = 5.174 Å, c = 4.666 Å
α = 90.00°, β = 90.00°, γ = 90.00°
Atoms (fractional coordinates):
Zr1 0.000 0.000 0.000
Co1 0.500 0.500 0.000
Pd1 0.500 0.500 0.500
Pb1 0.000 0.500 0.500
Pb2 0.500 0.000 0.500


(11)
The following is a PBE calculation of a geometry-optimized Cr2NiIr structure, from the Alexandria database.

Summary:
- ΔE_f (eV per formula unit) = -0.20
- SG = I-4m2 (119)
- uncorrected energy (eV/atom) = -8.52

a = 3.707 Å, b = 3.707 Å, c = 7.216 Å
α = 90.00°, β = 90.00°, γ = 90.00°
Atoms (fractional coordinates):
Cr1 0.000 0.000 0.000
Cr2 0.000 0.500 0.250
Cr3 0.500 0.000 0.750
Cr4 0.500 0.500 0.500
Ni1 0.000 0.000 0.500
Ni2 0.500 0.500 0.000
Ir1 0.000 0.500 0.750
Ir2 0.500 0.000 0.250


(12)
The following is a PBE calculation of a geometry-optimized ScCrPb2 structure, from the Alexandria database.

Summary:
- ΔE_f (eV per formula unit) = 1.28
- SG = R3m (160)
- excess energy over the best structure of this formula in the dataset (meV/atom) = 217
- uncorrected energy (eV/atom) = -5.52

a = 3.333 Å, b = 3.333 Å, c = 30.845 Å
α = 90.00°, β = 90.00°, γ = 120.00°
Atoms (fractional coordinates):
Sc1 0.000 0.000 0.000
Sc2 0.333 0.667 0.667
Sc3 0.667 0.333 0.333
Cr1 0.000 0.000 0.734
Cr2 0.333 0.667 0.401
Cr3 0.667 0.333 0.068
Pb1 0.000 0.000 0.245
Pb2 0.000 0.000 0.477
Pb3 0.333 0.667 0.144
Pb4 0.333 0.667 0.912
Pb5 0.667 0.333 0.578
Pb6 0.667 0.333 0.810


(13)
The following is a PBE calculation of a geometry-optimized Ca3MgAg structure, from the Alexandria database.

Summary:
- ΔE_f (eV per formula unit) = 0.22
- SG = Pm-3m (221)
- excess energy over the best structure of this formula in the dataset (meV/atom) = 169
- uncorrected energy (eV/atom) = -2.05

a = 5.754 Å, b = 5.754 Å, c = 5.754 Å
α = 90.00°, β = 90.00°, γ = 90.00°
Atoms (fractional coordinates):
Ca1 0.000 0.000 0.500
Ca2 0.000 0.500 0.000
Ca3 0.500 0.000 0.000
Mg1 0.500 0.500 0.500
Ag1 0.000 0.000 0.000


(14)
The following is a PBE calculation of a geometry-optimized InSn2RhS structure, from the Alexandria database.

Summary:
- ΔE_f (raw) (eV/atom) = -0.15
- SG = P4/mmm (123)
- uncorrected energy (eV/atom) = -4.60

a = 5.053 Å, b = 5.053 Å, c = 5.118 Å
α = 90.00°, β = 90.00°, γ = 90.00°
Atoms (fractional coordinates):
In1 0.000 0.000 0.000
Sn1 0.000 0.500 0.500
Sn2 0.500 0.000 0.500
Rh1 0.000 0.000 0.500
S1 0.500 0.500 0.000


(15)
The following is a PBE calculation of a geometry-optimized Sr4CdPd structure, from the Alexandria database.

Summary:
- ΔE_f (eV per formula unit) = -1.96
- SG = C2/c (15)
- uncorrected energy (eV/atom) = -2.47

a = 9.012 Å, b = 9.012 Å, c = 7.163 Å
α = 106.81°, β = 106.81°, γ = 111.22°
Atoms (fractional coordinates):
Sr1 0.056 0.712 0.916
Sr2 0.224 0.351 0.708
Sr3 0.288 0.944 0.584
Sr4 0.351 0.224 0.208
Sr5 0.649 0.776 0.792
Sr6 0.712 0.056 0.416
Sr7 0.776 0.649 0.292
Sr8 0.944 0.288 0.084
Cd1 0.366 0.634 0.250
Cd2 0.634 0.366 0.750
Pd1 0.002 0.998 0.750
Pd2 0.998 0.002 0.250


(16)
The following is a PBE calculation of a geometry-optimized Y2SnSe4 structure, from the Alexandria database.

Summary:
- ΔE_f (raw) (eV/atom) = -1.44
- SG = Cmcm (63)
- excess energy over the best structure of this formula in the dataset (meV/atom) = 0
- uncorrected energy (eV/atom) = -5.85

a = 7.085 Å, b = 7.085 Å, c = 14.116 Å
α = 90.00°, β = 90.00°, γ = 146.35°
Atoms (fractional coordinates):
Y1 0.137 0.863 0.566
Y2 0.137 0.863 0.934
Y3 0.863 0.137 0.066
Y4 0.863 0.137 0.434
Sn1 0.399 0.601 0.750
Sn2 0.601 0.399 0.250
Se1 0.046 0.954 0.750
Se2 0.229 0.771 0.117
Se3 0.229 0.771 0.383
Se4 0.500 0.500 0.000
Se5 0.500 0.500 0.500
Se6 0.771 0.229 0.617
Se7 0.771 0.229 0.883
Se8 0.954 0.046 0.250


(17)
The following is a PBE calculation of a geometry-optimized Ca2LaFe2 structure, from the Alexandria database.

Summary:
- ΔE_f (eV per formula unit) = 3.60
- SG = I4/mmm (139)
- uncorrected energy (eV/atom) = -4.45

a = 5.115 Å, b = 5.115 Å, c = 10.219 Å
α = 90.00°, β = 90.00°, γ = 90.00°
Atoms (fractional coordinates):
Ca1 0.000 0.000 0.152
Ca2 0.000 0.000 0.848
Ca3 0.500 0.500 0.348
Ca4 0.500 0.500 0.652
La1 0.000 0.000 0.500
La2 0.500 0.500 0.000
Fe1 0.000 0.500 0.250
Fe2 0.000 0.500 0.750
Fe3 0.500 0.000 0.250
Fe4 0.500 0.000 0.750


(18)
The following is a PBE calculation of a geometry-optimized Sm4Er15Tm structure, from the Alexandria database.

Summary:
- ΔE_f (eV per formula unit) = 0.45
- SG = P4/mmm (123)
- uncorrected energy (eV/atom) = -4.57

a = 4.992 Å, b = 4.992 Å, c = 24.918 Å
α = 90.00°, β = 90.00°, γ = 90.00°
Atoms (fractional coordinates):
Sm1 0.000 0.000 0.100
Sm2 0.000 0.000 0.301
Sm3 0.000 0.000 0.699
Sm4 0.000 0.000 0.900
Er1 0.000 0.500 0.000
Er2 0.000 0.500 0.201
Er3 0.000 0.500 0.401
Er4 0.000 0.500 0.599
Er5 0.000 0.500 0.799
Er6 0.500 0.000 0.000
Er7 0.500 0.000 0.201
Er8 0.500 0.000 0.401
Er9 0.500 0.000 0.599
Er10 0.500 0.000 0.799
Er11 0.500 0.500 0.100
Er12 0.500 0.500 0.301
Er13 0.500 0.500 0.500
Er14 0.500 0.500 0.699
Er15 0.500 0.500 0.900
Tm1 0.000 0.000 0.500


(19)
The following is a PBE calculation of a geometry-optimized Ac2DyMg structure, from the Alexandria database.

Summary:
- ΔE_f (eV per formula unit) = 0.00
- SG = P4/mmm (123)
- excess energy over the best structure of this formula in the dataset (meV/atom) = 0
- uncorrected energy (eV/atom) = -3.60

a = 4.001 Å, b = 4.001 Å, c = 9.184 Å
α = 90.00°, β = 90.00°, γ = 90.00°
Atoms (fractional coordinates):
Ac1 0.000 0.000 0.233
Ac2 0.000 0.000 0.767
Dy1 0.500 0.500 0.500
Mg1 0.500 0.500 0.000


(20)
The following is a PBE calculation of a geometry-optimized CaVCu structure, from the Alexandria database.

Summary:
- ΔE_f (eV per formula unit) = 1.01
- SG = Pnma (62)
- excess energy over the best structure of this formula in the dataset (meV/atom) = 87
- uncorrected energy (eV/atom) = -4.73

a = 7.208 Å, b = 3.893 Å, c = 8.683 Å
α = 90.00°, β = 90.00°, γ = 90.00°
Atoms (fractional coordinates):
Ca1 0.054 0.250 0.173
Ca2 0.446 0.750 0.673
Ca3 0.554 0.250 0.327
Ca4 0.946 0.750 0.827
V1 0.090 0.250 0.541
V2 0.410 0.750 0.041
V3 0.590 0.250 0.959
V4 0.910 0.750 0.459
Cu1 0.240 0.750 0.370
Cu2 0.260 0.250 0.870
Cu3 0.740 0.750 0.130
Cu4 0.760 0.250 0.630